<A>
VASP calculation (GGA-PBE) on an optimized crystal structure of NaCrB.

The structure in CIF format:
```
data_NaCrB
_chemical_formula_sum 'Na2 Cr2 B2'
_symmetry_space_group_name_H-M 'P 1 21/m 1'
_symmetry_Int_Tables_number 11
_cell_length_a 4.415
_cell_length_b 3.049
_cell_length_c 6.996
_cell_angle_alpha 90.00
_cell_angle_beta 100.13
_cell_angle_gamma 90.00
loop_
_symmetry_equiv_pos_as_xyz
'x,y,z'
'-x,-y,-z'
'-x,y+1/2,-z'
'x,-y+1/2,z'
loop_
_atom_site_label
_atom_site_fract_x
_atom_site_fract_y
_atom_site_fract_z
_atom_site_occupancy
Na1 0.217 0.250 0.356 1
Cr1 0.366 0.250 0.911 1
B1 0.087 0.750 0.015 1
```


<B>
VASP calculation (GGA-PBE) on an optimized crystal structure of NaCrB.

The structure in CIF format:
```
data_NaCrB
_chemical_formula_sum 'Na2 Cr2 B2'
_symmetry_space_group_name_H-M 'P -1'
_symmetry_Int_Tables_number 2
_cell_length_a 2.925
_cell_length_b 3.043
_cell_length_c 10.339
_cell_angle_alpha 98.29
_cell_angle_beta 90.26
_cell_angle_gamma 90.00
loop_
_symmetry_equiv_pos_as_xyz
'x,y,z'
'-x,-y,-z'
loop_
_atom_site_label
_atom_site_fract_x
_atom_site_fract_y
_atom_site_fract_z
_atom_site_occupancy
Na1 0.244 0.332 0.157 1
Cr1 0.252 0.052 0.607 1
B1 0.249 0.476 0.451 1
```


<C>
VASP calculation (GGA-PBE) on an optimized crystal structure of NaCrB.

The structure in CIF format:
```
data_NaCrB
_chemical_formula_sum 'Na4 Cr4 B4'
_symmetry_space_group_name_H-M 'C 1 2 1'
_symmetry_Int_Tables_number 5
_cell_length_a 4.113
_cell_length_b 4.113
_cell_length_c 10.540
_cell_angle_alpha 90.00
_cell_angle_beta 101.19
_cell_angle_gamma 90.00
loop_
_symmetry_equiv_pos_as_xyz
'x,y,z'
'-x,y,-z'
'x+1/2,y+1/2,z'
'-x+1/2,y+1/2,-z'
loop_
_atom_site_label
_atom_site_fract_x
_atom_site_fract_y
_atom_site_fract_z
_atom_site_occupancy
Na1 0.176 0.000 0.350 1
Cr1 0.207 0.755 0.914 1
B1 0.191 0.255 0.882 1
```


Short version: <A> is the least stable of them.


<A>
VASP calculation (GGA-PBE) on an optimized crystal structure of NaCrB.

The structure in CIF format:
```
data_NaCrB
_chemical_formula_sum 'Na2 Cr2 B2'
_symmetry_space_group_name_H-M 'P m n 21'
_symmetry_Int_Tables_number 31
_cell_length_a 2.914
_cell_length_b 10.455
_cell_length_c 2.913
_cell_angle_alpha 90.00
_cell_angle_beta 90.00
_cell_angle_gamma 90.00
loop_
_symmetry_equiv_pos_as_xyz
'x,y,z'
'-x+1/2,-y,z+1/2'
'-x,y,z'
'x+1/2,-y,z+1/2'
loop_
_atom_site_label
_atom_site_fract_x
_atom_site_fract_y
_atom_site_fract_z
_atom_site_occupancy
Na1 0.000 0.149 0.000 1
Cr1 0.000 0.590 0.033 1
B1 0.000 0.390 0.033 1
```


<B>
VASP calculation (GGA-PBE) on an optimized crystal structure of NaCrB.

The structure in CIF format:
```
data_NaCrB
_chemical_formula_sum 'Na2 Cr2 B2'
_symmetry_space_group_name_H-M 'P 1'
_symmetry_Int_Tables_number 1
_cell_length_a 2.982
_cell_length_b 3.877
_cell_length_c 10.077
_cell_angle_alpha 80.61
_cell_angle_beta 82.51
_cell_angle_gamma 67.42
loop_
_symmetry_equiv_pos_as_xyz
'x,y,z'
loop_
_atom_site_label
_atom_site_fract_x
_atom_site_fract_y
_atom_site_fract_z
_atom_site_occupancy
Na1 0.000 0.000 0.000 1
Na2 0.403 0.589 0.689 1
Cr1 0.214 0.351 0.252 1
Cr2 0.867 0.896 0.419 1
B1 0.146 0.288 0.476 1
B2 0.574 0.473 0.431 1
```


Short version: <B> is the least stable of them.


<A>
VASP calculation (GGA-PBE) on an optimized crystal structure of NaCrB2.

The structure in CIF format:
```
data_NaCrB2
_chemical_formula_sum 'Na4 Cr4 B8'
_symmetry_space_group_name_H-M 'I 41/a m d'
_symmetry_Int_Tables_number 141
_cell_length_a 3.891
_cell_length_b 3.891
_cell_length_c 14.643
_cell_angle_alpha 90.00
_cell_angle_beta 90.00
_cell_angle_gamma 90.00
loop_
_symmetry_equiv_pos_as_xyz
'x,y,z'
'-x,-y,-z'
'-y+1/4,x+3/4,z+1/4'
'y+1/4,-x+3/4,-z+1/4'
'-x+1/2,-y,z+1/2'
'x+1/2,y,-z+1/2'
'y+1/4,-x+1/4,z+3/4'
'-y+1/4,x+1/4,-z+3/4'
'x,-y,-z'
'-x,y,z'
'-y+1/4,-x+1/4,-z+3/4'
'y+1/4,x+1/4,z+3/4'
'-x+1/2,y,-z+1/2'
'x+1/2,-y,z+1/2'
'y+1/4,x+3/4,-z+1/4'
'-y+1/4,-x+3/4,z+1/4'
'x+1/2,y+1/2,z+1/2'
'-x+1/2,-y+1/2,-z+1/2'
'-y+3/4,x+1/4,z+3/4'
'y+3/4,-x+1/4,-z+3/4'
'-x,-y+1/2,z'
'x,y+1/2,-z'
'y+3/4,-x+3/4,z+1/4'
'-y+3/4,x+3/4,-z+1/4'
'x+1/2,-y+1/2,-z+1/2'
'-x+1/2,y+1/2,z+1/2'
'-y+3/4,-x+3/4,-z+1/4'
'y+3/4,x+3/4,z+1/4'
'-x,y+1/2,-z'
'x,-y+1/2,z'
'y+3/4,x+1/4,-z+3/4'
'-y+3/4,-x+1/4,z+3/4'
loop_
_atom_site_label
_atom_site_fract_x
_atom_site_fract_y
_atom_site_fract_z
_atom_site_occupancy
Na1 0.000 0.250 0.375 1
Cr1 0.000 0.250 0.875 1
B1 0.000 0.000 0.000 1
```


<B>
VASP calculation (GGA-PBE) on an optimized crystal structure of NaCrB2.

The structure in CIF format:
```
data_NaCrB2
_chemical_formula_sum 'Na4 Cr4 B8'
_symmetry_space_group_name_H-M 'F m -3 m'
_symmetry_Int_Tables_number 225
_symmetry_space_group_name_Hall '-F 4 2 3'
_cell_length_a 5.458
_cell_length_b 5.458
_cell_length_c 5.458
_cell_angle_alpha 90.00
_cell_angle_beta 90.00
_cell_angle_gamma 90.00
loop_
_atom_site_label
_atom_site_fract_x
_atom_site_fract_y
_atom_site_fract_z
_atom_site_occupancy
Na1 0.000 0.000 0.000 1
Cr1 0.000 0.000 0.500 1
B1 0.250 0.250 0.250 1
```


Short version: <B> is the least stable of them.


<A>
VASP calculation (GGA-PBE) on an optimized crystal structure of Na2Cr2B.

The structure in CIF format:
```
data_Na2Cr2B
_chemical_formula_sum 'Na4 Cr4 B2'
_symmetry_space_group_name_H-M 'I 4/m m m'
_symmetry_Int_Tables_number 139
_symmetry_space_group_name_Hall '-I 4 2'
_cell_length_a 3.101
_cell_length_b 3.101
_cell_length_c 18.834
_cell_angle_alpha 90.00
_cell_angle_beta 90.00
_cell_angle_gamma 90.00
loop_
_atom_site_label
_atom_site_fract_x
_atom_site_fract_y
_atom_site_fract_z
_atom_site_occupancy
Na1 0.000 0.000 0.094 1
Cr1 0.000 0.500 0.250 1
B1 0.000 0.000 0.500 1
```


<B>
VASP calculation (GGA-PBE) on an optimized crystal structure of Na2Cr2B.

The structure in CIF format:
```
data_Na2Cr2B
_chemical_formula_sum 'Na4 Cr4 B2'
_symmetry_space_group_name_H-M 'P 4/m b m'
_symmetry_Int_Tables_number 127
_symmetry_space_group_name_Hall '-P 4 2ab'
_cell_length_a 8.620
_cell_length_b 8.620
_cell_length_c 2.607
_cell_angle_alpha 90.00
_cell_angle_beta 90.00
_cell_angle_gamma 90.00
loop_
_atom_site_label
_atom_site_fract_x
_atom_site_fract_y
_atom_site_fract_z
_atom_site_occupancy
Na1 0.212 0.288 0.000 1
Cr1 0.074 0.574 0.500 1
B1 0.000 0.000 0.000 1
```


Short version: <B> is the least stable of them.


<A>
VASP calculation (GGA-PBE) on an optimized crystal structure of Na3CrB.

The structure in CIF format:
```
data_Na3CrB
_chemical_formula_sum 'Na3 Cr1 B1'
_symmetry_space_group_name_H-M 'P m -3 m'
_symmetry_Int_Tables_number 221
_symmetry_space_group_name_Hall '-P 4 2 3'
_cell_length_a 5.013
_cell_length_b 5.013
_cell_length_c 5.013
_cell_angle_alpha 90.00
_cell_angle_beta 90.00
_cell_angle_gamma 90.00
loop_
_atom_site_label
_atom_site_fract_x
_atom_site_fract_y
_atom_site_fract_z
_atom_site_occupancy
Na1 0.000 0.000 0.500 1
Cr1 0.500 0.500 0.500 1
B1 0.000 0.000 0.000 1
```


<B>
VASP calculation (GGA-PBE) on an optimized crystal structure of Na3CrB.

The structure in CIF format:
```
data_Na3CrB
_chemical_formula_sum 'Na3 Cr1 B1'
_symmetry_space_group_name_H-M 'P m -3 m'
_symmetry_Int_Tables_number 221
_symmetry_space_group_name_Hall '-P 4 2 3'
_cell_length_a 5.607
_cell_length_b 5.607
_cell_length_c 5.607
_cell_angle_alpha 90.00
_cell_angle_beta 90.00
_cell_angle_gamma 90.00
loop_
_atom_site_label
_atom_site_fract_x
_atom_site_fract_y
_atom_site_fract_z
_atom_site_occupancy
Na1 0.000 0.000 0.500 1
Cr1 0.000 0.000 0.000 1
B1 0.500 0.500 0.500 1
```


Short version: <A> is the least stable of them.


<A>
VASP calculation (GGA-PBE) on an optimized crystal structure of NaCr3B.

The structure in CIF format:
```
data_NaCr3B
_chemical_formula_sum 'Na1 Cr3 B1'
_symmetry_space_group_name_H-M 'P m -3 m'
_symmetry_Int_Tables_number 221
_symmetry_space_group_name_Hall '-P 4 2 3'
_cell_length_a 4.890
_cell_length_b 4.890
_cell_length_c 4.890
_cell_angle_alpha 90.00
_cell_angle_beta 90.00
_cell_angle_gamma 90.00
loop_
_atom_site_label
_atom_site_fract_x
_atom_site_fract_y
_atom_site_fract_z
_atom_site_occupancy
Na1 0.000 0.000 0.000 1
Cr1 0.000 0.000 0.500 1
B1 0.500 0.500 0.500 1
```


<B>
VASP calculation (GGA-PBE) on an optimized crystal structure of NaCr3B.

The structure in CIF format:
```
data_NaCr3B
_chemical_formula_sum 'Na1 Cr3 B1'
_symmetry_space_group_name_H-M 'P m -3 m'
_symmetry_Int_Tables_number 221
_symmetry_space_group_name_Hall '-P 4 2 3'
_cell_length_a 4.032
_cell_length_b 4.032
_cell_length_c 4.032
_cell_angle_alpha 90.00
_cell_angle_beta 90.00
_cell_angle_gamma 90.00
loop_
_atom_site_label
_atom_site_fract_x
_atom_site_fract_y
_atom_site_fract_z
_atom_site_occupancy
Na1 0.000 0.000 0.000 1
Cr1 0.000 0.500 0.500 1
B1 0.500 0.500 0.500 1
```


Short version: <A> is the least stable of them.


<A>
VASP calculation (GGA-PBE) on an optimized crystal structure of NbCrB2.

The structure in CIF format:
```
data_NbCrB2
_chemical_formula_sum 'Nb4 Cr4 B8'
_symmetry_space_group_name_H-M 'I -4 2 d'
_symmetry_Int_Tables_number 122
_symmetry_space_group_name_Hall 'I -4 2bw'
_cell_length_a 4.596
_cell_length_b 4.596
_cell_length_c 10.278
_cell_angle_alpha 90.00
_cell_angle_beta 90.00
_cell_angle_gamma 90.00
loop_
_atom_site_label
_atom_site_fract_x
_atom_site_fract_y
_atom_site_fract_z
_atom_site_occupancy
Nb1 0.000 0.000 0.000 1
Cr1 0.000 0.000 0.500 1
B1 0.204 0.250 0.625 1
```


<B>
VASP calculation (GGA-PBE) on an optimized crystal structure of NbCrB2.

The structure in CIF format:
```
data_NbCrB2
_chemical_formula_sum 'Nb3 Cr3 B6'
_symmetry_space_group_name_H-M 'R -3 m'
_symmetry_Int_Tables_number 166
_symmetry_space_group_name_Hall '-R 3 2"'
_cell_length_a 3.1270
_cell_length_b 3.1270
_cell_length_c 15.1017
_cell_angle_alpha 90.00
_cell_angle_beta 90.00
_cell_angle_gamma 120.00
loop_
_atom_site_label
_atom_site_fract_x
_atom_site_fract_y
_atom_site_fract_z
_atom_site_occupancy
Nb1 0.0000 0.0000 0.0000 1
Cr1 0.0000 0.0000 0.5000 1
B1 0.0000 0.0000 0.2404 1
```


<C>
VASP calculation (GGA-PBE) on an optimized crystal structure of NbCrB2.

The structure in CIF format:
```
data_NbCrB2
_chemical_formula_sum 'Nb4 Cr4 B8'
_symmetry_space_group_name_H-M 'P n m a'
_symmetry_Int_Tables_number 62
_cell_length_a 5.546
_cell_length_b 3.103
_cell_length_c 9.591
_cell_angle_alpha 90.00
_cell_angle_beta 90.00
_cell_angle_gamma 90.00
loop_
_symmetry_equiv_pos_as_xyz
'x,y,z'
'-x,-y,-z'
'-x+1/2,-y,z+1/2'
'x+1/2,y,-z+1/2'
'x+1/2,-y+1/2,-z+1/2'
'-x+1/2,y+1/2,z+1/2'
'-x,y+1/2,-z'
'x,-y+1/2,z'
loop_
_atom_site_label
_atom_site_fract_x
_atom_site_fract_y
_atom_site_fract_z
_atom_site_occupancy
Nb1 0.119 0.250 0.149 1
Cr1 0.133 0.250 0.445 1
B1 0.035 0.250 0.673 1
B2 0.212 0.250 0.822 1
```


Short version: <A> is the least stable of them.


<A>
VASP calculation (GGA-PBE) on an optimized crystal structure of NbCr2B2.

The structure in CIF format:
```
data_NbCr2B2
_chemical_formula_sum 'Nb2 Cr4 B4'
_symmetry_space_group_name_H-M 'P 4/m b m'
_symmetry_Int_Tables_number 127
_symmetry_space_group_name_Hall '-P 4 2ab'
_cell_length_a 5.911
_cell_length_b 5.911
_cell_length_c 2.976
_cell_angle_alpha 90.00
_cell_angle_beta 90.00
_cell_angle_gamma 90.00
loop_
_atom_site_label
_atom_site_fract_x
_atom_site_fract_y
_atom_site_fract_z
_atom_site_occupancy
Nb1 0.000 0.000 0.000 1
Cr1 0.171 0.329 0.500 1
B1 0.108 0.608 0.000 1
```


<B>
VASP calculation (GGA-PBE) on an optimized crystal structure of NbCr2B2.

The structure in CIF format:
```
data_NbCr2B2
_chemical_formula_sum 'Nb4 Cr8 B8'
_symmetry_space_group_name_H-M 'C m c 21'
_symmetry_Int_Tables_number 36
_cell_length_a 3.085
_cell_length_b 10.171
_cell_length_c 6.715
_cell_angle_alpha 90.00
_cell_angle_beta 90.00
_cell_angle_gamma 90.00
loop_
_symmetry_equiv_pos_as_xyz
'x,y,z'
'-x,-y,z+1/2'
'-x,y,z'
'x,-y,z+1/2'
'x+1/2,y+1/2,z'
'-x+1/2,-y+1/2,z+1/2'
'-x+1/2,y+1/2,z'
'x+1/2,-y+1/2,z+1/2'
loop_
_atom_site_label
_atom_site_fract_x
_atom_site_fract_y
_atom_site_fract_z
_atom_site_occupancy
Nb1 0.000 0.084 0.000 1
Cr1 0.000 0.195 0.600 1
Cr2 0.000 0.372 0.858 1
B1 0.000 0.275 0.310 1
B2 0.000 0.439 0.200 1
```


Short version: <A> is the least stable of them.